[1]
A relaxed structure of KIn2Os. Source: Alexandria via LeMat-Bulk, functional GGA-PBE.

The structure in CIF format:
```
data_KIn2Os
_space_group_name_H-M_alt 'I m m 2'
_space_group_IT_number 44
_cell_length_a 3.099
_cell_length_b 4.489
_cell_length_c 16.067
_cell_angle_alpha 90.00
_cell_angle_beta 90.00
_cell_angle_gamma 90.00
loop_
_space_group_symop_operation_xyz
'x,y,z'
'-x,-y,z'
'-x,y,z'
'x,-y,z'
'x+1/2,y+1/2,z+1/2'
'-x+1/2,-y+1/2,z+1/2'
'-x+1/2,y+1/2,z+1/2'
'x+1/2,-y+1/2,z+1/2'
loop_
_atom_site_label
_atom_site_type_symbol
_atom_site_fract_x
_atom_site_fract_y
_atom_site_fract_z
_atom_site_occupancy
K1 K 0.000 0.000 0.000 1
In1 In 0.000 0.000 0.340 1
In2 In 0.000 0.500 0.183 1
Os1 Os 0.000 0.500 0.698 1
```

## Properties
* relative energy among the computed polymorphs: 0 meV per atom
* M_tot: 0.030 μB/atom
* theoretical density: 6.82 g/cm³
* VASP energy: -32.95 eV for the cell shown
* formation enthalpy at 0 K: 333 meV per atom

[2]
A relaxed structure of La2TiNb2. Source: Alexandria via LeMat-Bulk, functional GGA-PBE.

The structure in CIF format:
```
data_La2TiNb2
_space_group_name_H-M_alt 'P 4/m b m'
_space_group_IT_number 127
_space_group_name_Hall '-P 4 2ab'
_cell_length_a 6.951
_cell_length_b 6.951
_cell_length_c 5.179
_cell_angle_alpha 90.00
_cell_angle_beta 90.00
_cell_angle_gamma 90.00
loop_
_atom_site_label
_atom_site_type_symbol
_atom_site_fract_x
_atom_site_fract_y
_atom_site_fract_z
_atom_site_occupancy
La1 La 0.173 0.327 0.000 1
Ti1 Ti 0.000 0.000 0.500 1
Nb1 Nb 0.141 0.641 0.500 1
```

## Properties
* M_tot: 0.000 μB/atom
* theoretical density: 6.79 g/cm³
* VASP energy: -71.25 eV for the cell shown
* formation enthalpy at 0 K: 453 meV per atom

[3]
A relaxed structure of SrRe2Sb. Source: Alexandria via LeMat-Bulk, functional GGA-PBE.

The structure in CIF format:
```
data_SrRe2Sb
_space_group_name_H-M_alt 'P 4 m m'
_space_group_IT_number 99
_cell_length_a 3.171
_cell_length_b 3.171
_cell_length_c 8.520
_cell_angle_alpha 90.00
_cell_angle_beta 90.00
_cell_angle_gamma 90.00
loop_
_space_group_symop_operation_xyz
'x,y,z'
'-y,x,z'
'-x,-y,z'
'y,-x,z'
'-x,y,z'
'y,x,z'
'x,-y,z'
'-y,-x,z'
loop_
_atom_site_label
_atom_site_type_symbol
_atom_site_fract_x
_atom_site_fract_y
_atom_site_fract_z
_atom_site_occupancy
Sr1 Sr 0.000 0.000 0.000 1
Re1 Re 0.000 0.000 0.438 1
Re2 Re 0.500 0.500 0.275 1
Sb1 Sb 0.500 0.500 0.660 1
```

## Properties
* M_tot: 0.000 μB/atom
* theoretical density: 11.28 g/cm³
* VASP energy: -29.48 eV for the cell shown

[4]
A relaxed structure of Ac3Dy2Pb4. Source: Alexandria via LeMat-Bulk, functional GGA-PBE.

The structure in CIF format:
```
data_Ac3Dy2Pb4
_space_group_name_H-M_alt 'C 1 2/m 1'
_space_group_IT_number 12
_cell_length_a 14.154
_cell_length_b 4.872
_cell_length_c 10.342
_cell_angle_alpha 90.00
_cell_angle_beta 115.27
_cell_angle_gamma 90.00
loop_
_space_group_symop_operation_xyz
'x,y,z'
'-x,-y,-z'
'-x,y,-z'
'x,-y,z'
'x+1/2,y+1/2,z'
'-x+1/2,-y+1/2,-z'
'-x+1/2,y+1/2,-z'
'x+1/2,-y+1/2,z'
loop_
_atom_site_label
_atom_site_type_symbol
_atom_site_fract_x
_atom_site_fract_y
_atom_site_fract_z
_atom_site_occupancy
Ac1 Ac 0.000 0.000 0.000 1
Ac2 Ac 0.122 0.500 0.700 1
Dy1 Dy 0.184 0.500 0.355 1
Pb1 Pb 0.075 0.000 0.409 1
Pb2 Pb 0.203 0.500 0.066 1
```

## Properties
* M_tot: 0.000 μB/atom
* theoretical density: 9.45 g/cm³
* VASP energy: -80.94 eV for the cell shown
* formation enthalpy at 0 K: -457 meV per atom